Fe2TcPt2: relaxed, PBE.

Properties
* DOS(E_F): 2.009 states/eV/atom
* DFT formation energy: 0.328 eV/atom

a b c (Å): 7.2329 7.2329 2.6516
angles (deg): 90.00 90.00 90.00
Closest atoms and distances in Å follow each position.
Space group P4/mbm (No. 127)
Inequivalent atoms, fractional coordinates:
Fe 0.1677 0.3323 0.0000 [4 per cell]  6 Pt 2.44-2.55, 2 Fe 2.65
Tc 0.0000 0.0000 0.5000 [2 per cell]  2 Tc 2.65, 4 Pt 2.83
Pt 0.1321 0.6321 0.5000 [4 per cell]  6 Fe 2.44-2.55, 3 Pt 2.65-2.70